# Nd4Br5N2 (PBE, optimized geometry)
data_Nd4Br5N2
_space_group_name_H-M_alt 'I m m m'
_space_group_IT_number 71
_space_group_name_Hall '-I 2 2'
_cell_length_a 3.774
_cell_length_b 8.316
_cell_length_c 17.927
_cell_angle_alpha 90.00
_cell_angle_beta 90.00
_cell_angle_gamma 90.00
loop_
_atom_site_label
_atom_site_fract_x
_atom_site_fract_y
_atom_site_fract_z
Nd1 0.000 0.000 0.167
Nd2 0.000 0.302 0.500
Br1 0.000 0.214 0.335
Br2 0.000 0.500 0.000
N1 0.000 0.000 0.039
# Volume ... 562.7 Å³ per cell
# Mass density ... 5.93 g/cm³
# Energy relative to the elements, uncorrected ... -1.469 eV/atom